The following is a DFT calculation (PBEsol) of CdPbSeBr2 after structural relaxation.

POSCAR file:
```
CdPbSeBr2
1.0
5.5663 0.0000 0.0000
0.0000 5.5663 0.0000
0.0000 0.0000 5.4954
Cd Pb Se Br
1 1 1 2
Direct
0.0000 0.0000 0.0000 Cd
0.5000 0.5000 0.5000 Pb
0.5000 0.5000 0.0000 Se
0.0000 0.5000 0.5000 Br
0.5000 0.0000 0.5000 Br
```

Formation energy from raw total energies   -0.021 eV per atom
Space group   No. 123
Volume   170.3 Å³ per cell